An optimized crystal structure of LaDy3Er. Source: the Alexandria database, functional PBE.

Symmetry = P-1, No. 2
Formation energy = 0.0204 eV per atom

Geometry as extended XYZ:
```
10
Lattice="6.305 0.000 0.000 -0.009 6.771 0.000 -3.137 -1.883 7.681" Properties=species:S:1:pos:R:3 pbc="T T T"
La 0.499 2.647 1.557
La 2.661 2.240 6.125
Dy -0.543 6.053 1.545
Dy 0.516 4.639 4.607
Dy 2.614 5.092 0.023
Dy 0.545 -0.204 7.658
Dy 2.643 0.248 3.074
Dy 3.702 -1.166 6.137
Er -0.525 1.206 4.606
Er 3.684 3.682 3.075
```



An optimized crystal structure of LaCoRh2C. Source: the Alexandria database, functional PBE.

Symmetry = P4/mmm, No. 123
Formation energy = -0.2252 eV per atom

Geometry as extended XYZ:
```
5
Lattice="4.299 0.000 0.000 0.000 4.299 0.000 0.000 0.000 3.968" Properties=species:S:1:pos:R:3 pbc="T T T"
La 0.000 0.000 0.000
Co 2.149 2.149 0.000
Rh 0.000 2.149 1.984
Rh 2.149 0.000 1.984
C 2.149 2.149 1.984
```



> Look up the formation energy of the first one.

0.0204 eV per atom



> What is the formula in the second record?

LaCoRh2C